[1]
# LiTm2Sn (PBE-GGA, optimized geometry)
data_LiTm2Sn
_cell_length_a 5.151
_cell_length_b 5.151
_cell_length_c 5.151
_cell_angle_alpha 60.00
_cell_angle_beta 60.00
_cell_angle_gamma 60.00
_space_group_name_H-M_alt 'P 1'
_space_group_IT_number 1
loop_
_space_group_symop_operation_xyz
'x,y,z'
loop_
_atom_site_label
_atom_site_type_symbol
_atom_site_fract_x
_atom_site_fract_y
_atom_site_fract_z
Li1 Li 0.000 0.000 0.000
Tm1 Tm 0.250 0.250 0.250
Tm2 Tm 0.750 0.750 0.750
Sn1 Sn 0.500 0.500 0.500
# - calculated formation energy (eV/atom) = -0.3669
# - spin magnetization (μB/f.u.) = 0.000
# - space group = Fm-3m

***

[2]
# TcSnTeN2 (PBE-GGA, optimized geometry)
data_TcSnTeN2
_cell_length_a 4.033
_cell_length_b 4.033
_cell_length_c 5.585
_cell_angle_alpha 90.00
_cell_angle_beta 90.00
_cell_angle_gamma 90.00
_space_group_name_H-M_alt 'P 1'
_space_group_IT_number 1
loop_
_space_group_symop_operation_xyz
'x,y,z'
loop_
_atom_site_label
_atom_site_type_symbol
_atom_site_fract_x
_atom_site_fract_y
_atom_site_fract_z
Tc1 Tc 0.000 0.000 0.000
Sn1 Sn 0.500 0.500 0.500
Te1 Te 0.000 0.000 0.500
N1 N 0.000 0.500 0.000
N2 N 0.500 0.000 0.000
# - formation energy from raw total energies (eV/atom) = 0.700
# - spin magnetization (μB/f.u.) = 0.000
# - space group = P4/mmm

***

[3]
# Sm2HoAg3 (PBE-GGA, optimized geometry)
data_Sm2HoAg3
_cell_length_a 3.659
_cell_length_b 3.659
_cell_length_c 11.159
_cell_angle_alpha 90.00
_cell_angle_beta 90.00
_cell_angle_gamma 90.00
_space_group_name_H-M_alt 'P 1'
_space_group_IT_number 1
loop_
_space_group_symop_operation_xyz
'x,y,z'
loop_
_atom_site_label
_atom_site_type_symbol
_atom_site_fract_x
_atom_site_fract_y
_atom_site_fract_z
Sm1 Sm 0.000 0.000 0.170
Sm2 Sm 0.000 0.000 0.830
Ho1 Ho 0.000 0.000 0.500
Ag1 Ag 0.500 0.500 0.000
Ag2 Ag 0.500 0.500 0.343
Ag3 Ag 0.500 0.500 0.657
# - calculated formation energy (eV/atom) = -0.2975
# - spin magnetization (μB/f.u.) = 0.000
# - space group = P4/mmm

***

[4]
# InPbSe2I (PBE-GGA, optimized geometry)
data_InPbSe2I
_cell_length_a 7.500
_cell_length_b 5.968
_cell_length_c 8.315
_cell_angle_alpha 90.00
_cell_angle_beta 90.63
_cell_angle_gamma 90.00
_space_group_name_H-M_alt 'P 1'
_space_group_IT_number 1
loop_
_space_group_symop_operation_xyz
'x,y,z'
loop_
_atom_site_label
_atom_site_type_symbol
_atom_site_fract_x
_atom_site_fract_y
_atom_site_fract_z
In1 In 0.087 0.250 0.353
In2 In 0.913 0.750 0.647
Pb1 Pb 0.206 0.250 0.886
Pb2 Pb 0.794 0.750 0.114
Se1 Se 0.066 0.750 0.369
Se2 Se 0.105 0.750 0.911
Se3 Se 0.895 0.250 0.089
Se4 Se 0.934 0.250 0.631
I1 I 0.448 0.250 0.273
I2 I 0.552 0.750 0.727
# - formation energy from raw total energies (eV/atom) = -0.520
# - spin magnetization (μB/f.u.) = 0.000
# - space group = P2_1/m

***

Copy entry 2 word for word.
# TcSnTeN2 (PBE-GGA, optimized geometry)
data_TcSnTeN2
_cell_length_a 4.033
_cell_length_b 4.033
_cell_length_c 5.585
_cell_angle_alpha 90.00
_cell_angle_beta 90.00
_cell_angle_gamma 90.00
_space_group_name_H-M_alt 'P 1'
_space_group_IT_number 1
loop_
_space_group_symop_operation_xyz
'x,y,z'
loop_
_atom_site_label
_atom_site_type_symbol
_atom_site_fract_x
_atom_site_fract_y
_atom_site_fract_z
Tc1 Tc 0.000 0.000 0.000
Sn1 Sn 0.500 0.500 0.500
Te1 Te 0.000 0.000 0.500
N1 N 0.000 0.500 0.000
N2 N 0.500 0.000 0.000
# - formation energy from raw total energies (eV/atom) = 0.700
# - spin magnetization (μB/f.u.) = 0.000
# - space group = P4/mmm